Below is a relaxed structure of LiTbMoO4, with properties calculated at the GGA+U level.

The structure belongs to space group Imma (No. 74); the cell edges are 6.324, 6.879 and 9.164 Å and the angles 90.00°, 90.00° and 90.00°. Symmetry generates all atoms from Li at (0.000, 0.250, 0.094), Tb at (0.000, 0.000, 0.500), Mo at (0.250, 0.250, 0.750), O at (0.000, 0.043, 0.747) and O at (0.237, 0.250, 0.525).

The value obtained for the total magnetization is 8.00 μB per cell. The energy is -7.15 eV/atom.